1.
# Tl2In4Pb5 | Alexandria | PBE | relaxed
data_Tl2In4Pb5
_chemical_formula_sum 'Tl4 In8 Pb10'
_cell_length_a 3.412
_cell_length_b 8.976
_cell_length_c 22.586
_cell_angle_alpha 90.00
_cell_angle_beta 90.00
_cell_angle_gamma 90.00
_space_group_name_H-M_alt 'I m m m'
_space_group_IT_number 71
_space_group_name_Hall '-I 2 2'
loop_
_atom_site_label
_atom_site_fract_x
_atom_site_fract_y
_atom_site_fract_z
Tl1 0.000 0.000 0.233
In1 0.000 0.000 0.095
In2 0.000 0.312 0.500
Pb1 0.000 0.189 0.362
Pb2 0.000 0.500 0.000
# density = 9.14 g/cm3

=====

2.
# Tl2In4Pb5 | Alexandria | PBE | relaxed
data_Tl2In4Pb5
_chemical_formula_sum 'Tl4 In8 Pb10'
_cell_length_a 12.645
_cell_length_b 6.716
_cell_length_c 9.852
_cell_angle_alpha 90.00
_cell_angle_beta 124.15
_cell_angle_gamma 90.00
_space_group_name_H-M_alt 'C 1 2/m 1'
_space_group_IT_number 12
loop_
_space_group_symop_operation_xyz
'x,y,z'
'-x,-y,-z'
'-x,y,-z'
'x,-y,z'
'x+1/2,y+1/2,z'
'-x+1/2,-y+1/2,-z'
'-x+1/2,y+1/2,-z'
'x+1/2,-y+1/2,z'
loop_
_atom_site_label
_atom_site_fract_x
_atom_site_fract_y
_atom_site_fract_z
Tl1 0.233 0.000 0.298
In1 0.233 0.000 0.645
In2 0.235 0.000 0.982
Pb1 0.000 0.500 0.000
Pb2 0.004 0.255 0.324
# density = 9.13 g/cm3

=====

Order of stability, best first: 2, 1

=====

1.
# TlIn4Pb3 | Alexandria | PBE | relaxed
data_TlIn4Pb3
_chemical_formula_sum 'Tl2 In8 Pb6'
_cell_length_a 6.517
_cell_length_b 11.544
_cell_length_c 6.388
_cell_angle_alpha 90.00
_cell_angle_beta 90.00
_cell_angle_gamma 90.00
_space_group_name_H-M_alt 'I m m 2'
_space_group_IT_number 44
loop_
_space_group_symop_operation_xyz
'x,y,z'
'-x,-y,z'
'-x,y,z'
'x,-y,z'
'x+1/2,y+1/2,z+1/2'
'-x+1/2,-y+1/2,z+1/2'
'-x+1/2,y+1/2,z+1/2'
'x+1/2,-y+1/2,z+1/2'
loop_
_atom_site_label
_atom_site_fract_x
_atom_site_fract_y
_atom_site_fract_z
Tl1 0.000 0.000 0.000
In1 0.000 0.233 0.705
In2 0.249 0.000 0.491
Pb1 0.000 0.271 0.207
Pb2 0.000 0.500 0.526
# density = 8.88 g/cm3

=====

2.
# TlIn4Pb3 | Alexandria | PBE | relaxed
data_TlIn4Pb3
_chemical_formula_sum 'Tl2 In8 Pb6'
_cell_length_a 22.846
_cell_length_b 3.268
_cell_length_c 6.635
_cell_angle_alpha 90.00
_cell_angle_beta 105.22
_cell_angle_gamma 90.00
_space_group_name_H-M_alt 'C 1 2/m 1'
_space_group_IT_number 12
loop_
_space_group_symop_operation_xyz
'x,y,z'
'-x,-y,-z'
'-x,y,-z'
'x,-y,z'
'x+1/2,y+1/2,z'
'-x+1/2,-y+1/2,-z'
'-x+1/2,y+1/2,-z'
'x+1/2,-y+1/2,z'
loop_
_atom_site_label
_atom_site_fract_x
_atom_site_fract_y
_atom_site_fract_z
Tl1 0.000 0.000 0.000
In1 0.127 0.500 0.873
In2 0.239 0.000 0.753
Pb1 0.000 0.500 0.500
Pb2 0.132 0.500 0.364
# density = 8.93 g/cm3

=====

Order of stability, best first: 2, 1

=====

1.
# TlIn3Pb5 | Alexandria | PBE | relaxed
data_TlIn3Pb5
_chemical_formula_sum 'Tl4 In12 Pb20'
_cell_length_a 16.729
_cell_length_b 9.668
_cell_length_c 6.737
_cell_angle_alpha 90.00
_cell_angle_beta 90.00
_cell_angle_gamma 90.00
_space_group_name_H-M_alt 'C m c m'
_space_group_IT_number 63
_space_group_name_Hall '-C 2c 2'
loop_
_atom_site_label
_atom_site_fract_x
_atom_site_fract_y
_atom_site_fract_z
Tl1 0.000 0.000 0.000
In1 0.000 0.339 0.250
In2 0.170 0.169 0.750
Pb1 0.000 0.332 0.750
Pb2 0.166 0.166 0.250
Pb3 0.167 0.500 0.000
# density = 9.66 g/cm3

=====

2.
# TlIn3Pb5 | Alexandria | PBE | relaxed
data_TlIn3Pb5
_chemical_formula_sum 'Tl4 In12 Pb20'
_cell_length_a 16.629
_cell_length_b 7.377
_cell_length_c 10.404
_cell_angle_alpha 90.00
_cell_angle_beta 107.90
_cell_angle_gamma 90.00
_space_group_name_H-M_alt 'C 1 2/c 1'
_space_group_IT_number 15
loop_
_space_group_symop_operation_xyz
'x,y,z'
'-x,-y,-z'
'-x,y,-z+1/2'
'x,-y,z+1/2'
'x+1/2,y+1/2,z'
'-x+1/2,-y+1/2,-z'
'-x+1/2,y+1/2,-z+1/2'
'x+1/2,-y+1/2,z+1/2'
loop_
_atom_site_label
_atom_site_fract_x
_atom_site_fract_y
_atom_site_fract_z
Tl1 0.000 0.246 0.250
In1 0.000 0.000 0.000
In2 0.164 0.495 0.332
Pb1 0.000 0.254 0.750
Pb2 0.168 0.248 0.587
Pb3 0.169 0.246 0.082
# density = 8.67 g/cm3

=====

Order of stability, best first: 1, 2

=====

1.
# Tl6In3Pb | Alexandria | PBE | relaxed
data_Tl6In3Pb
_chemical_formula_sum 'Tl12 In6 Pb2'
_cell_length_a 5.671
_cell_length_b 9.317
_cell_length_c 11.901
_cell_angle_alpha 72.05
_cell_angle_beta 89.91
_cell_angle_gamma 89.90
_space_group_name_H-M_alt 'P -1'
_space_group_IT_number 2
loop_
_space_group_symop_operation_xyz
'x,y,z'
'-x,-y,-z'
loop_
_atom_site_label
_atom_site_fract_x
_atom_site_fract_y
_atom_site_fract_z
Tl1 0.249 0.150 0.280
Tl2 0.249 0.349 0.681
Tl3 0.249 0.732 0.490
Tl4 0.250 0.537 0.086
Tl5 0.250 0.840 0.189
Tl6 0.250 0.935 0.889
In1 0.250 0.244 0.980
In2 0.251 0.440 0.383
In3 0.251 0.638 0.786
Pb1 0.251 0.040 0.584
# density = 9.87 g/cm3

=====

2.
# Tl6In3Pb | Alexandria | PBE | relaxed
data_Tl6In3Pb
_chemical_formula_sum 'Tl12 In6 Pb2'
_cell_length_a 12.746
_cell_length_b 3.432
_cell_length_c 15.255
_cell_angle_alpha 90.00
_cell_angle_beta 112.84
_cell_angle_gamma 90.00
_space_group_name_H-M_alt 'P 1 21/m 1'
_space_group_IT_number 11
loop_
_space_group_symop_operation_xyz
'x,y,z'
'-x,-y,-z'
'-x,y+1/2,-z'
'x,-y+1/2,z'
loop_
_atom_site_label
_atom_site_fract_x
_atom_site_fract_y
_atom_site_fract_z
Tl1 0.026 0.250 0.404
Tl2 0.097 0.250 0.849
Tl3 0.188 0.750 0.286
Tl4 0.286 0.750 0.534
Tl5 0.333 0.250 0.070
Tl6 0.376 0.750 0.891
In1 0.109 0.750 0.061
In2 0.214 0.250 0.690
In3 0.424 0.250 0.407
Pb1 0.488 0.250 0.738
# density = 9.60 g/cm3

=====

Order of stability, best first: 1, 2

=====

1.
# Tl5In2Pb | Alexandria | PBE | relaxed
data_Tl5In2Pb
_chemical_formula_sum 'Tl10 In4 Pb2'
_cell_length_a 6.817
_cell_length_b 13.575
_cell_length_c 5.185
_cell_angle_alpha 90.00
_cell_angle_beta 90.00
_cell_angle_gamma 90.00
_space_group_name_H-M_alt 'P b a m'
_space_group_IT_number 55
loop_
_space_group_symop_operation_xyz
'x,y,z'
'-x,-y,-z'
'-x,-y,z'
'x,y,-z'
'x+1/2,-y+1/2,-z'
'-x+1/2,y+1/2,z'
'-x+1/2,y+1/2,-z'
'x+1/2,-y+1/2,z'
loop_
_atom_site_label
_atom_site_fract_x
_atom_site_fract_y
_atom_site_fract_z
Tl1 0.000 0.000 0.000
Tl2 0.012 0.251 0.000
Tl3 0.244 0.874 0.500
In1 0.241 0.621 0.500
Pb1 0.000 0.500 0.000
# density = 10.10 g/cm3

=====

2.
# Tl5In2Pb | Alexandria | PBE | relaxed
data_Tl5In2Pb
_chemical_formula_sum 'Tl20 In8 Pb4'
_cell_length_a 5.774
_cell_length_b 14.575
_cell_length_c 12.969
_cell_angle_alpha 90.00
_cell_angle_beta 90.00
_cell_angle_gamma 90.00
_space_group_name_H-M_alt 'C m c m'
_space_group_IT_number 63
_space_group_name_Hall '-C 2c 2'
loop_
_atom_site_label
_atom_site_fract_x
_atom_site_fract_y
_atom_site_fract_z
Tl1 0.000 0.009 0.124
Tl2 0.000 0.207 0.750
Tl3 0.000 0.408 0.109
In1 0.000 0.204 0.502
Pb1 0.000 0.206 0.250
# density = 8.88 g/cm3

=====

Order of stability, best first: 1, 2

=====

1.
# TlIn6Pb | Alexandria | PBE | relaxed
data_TlIn6Pb
_chemical_formula_sum 'Tl2 In12 Pb2'
_cell_length_a 5.504
_cell_length_b 7.523
_cell_length_c 10.965
_cell_angle_alpha 90.00
_cell_angle_beta 90.00
_cell_angle_gamma 90.00
_space_group_name_H-M_alt 'A m m 2'
_space_group_IT_number 38
loop_
_space_group_symop_operation_xyz
'x,y,z'
'-x,-y,z'
'-x,y,z'
'x,-y,z'
'x,y+1/2,z+1/2'
'-x,-y+1/2,z+1/2'
'-x,y+1/2,z+1/2'
'x,-y+1/2,z+1/2'
loop_
_atom_site_label
_atom_site_fract_x
_atom_site_fract_y
_atom_site_fract_z
Tl1 0.000 0.000 0.000
In1 0.000 0.000 0.553
In2 0.000 0.217 0.276
In3 0.500 0.000 0.209
In4 0.500 0.217 0.482
Pb1 0.500 0.000 0.754
# density = 8.05 g/cm3

=====

2.
# TlIn6Pb | Alexandria | PBE | relaxed
data_TlIn6Pb
_chemical_formula_sum 'Tl2 In12 Pb2'
_cell_length_a 5.401
_cell_length_b 9.094
_cell_length_c 9.215
_cell_angle_alpha 90.00
_cell_angle_beta 90.00
_cell_angle_gamma 90.00
_space_group_name_H-M_alt 'A m m 2'
_space_group_IT_number 38
loop_
_space_group_symop_operation_xyz
'x,y,z'
'-x,-y,z'
'-x,y,z'
'x,-y,z'
'x,y+1/2,z+1/2'
'-x,-y+1/2,z+1/2'
'-x,y+1/2,z+1/2'
'x,-y+1/2,z+1/2'
loop_
_atom_site_label
_atom_site_fract_x
_atom_site_fract_y
_atom_site_fract_z
Tl1 0.000 0.000 0.000
In1 0.000 0.000 0.508
In2 0.000 0.248 0.254
In3 0.500 0.000 0.748
In4 0.500 0.247 0.004
Pb1 0.500 0.000 0.258
# density = 8.08 g/cm3

=====

Order of stability, best first: 1, 2

=====

1.
# TlIn6Pb12 | Alexandria | PBE | relaxed
data_TlIn6Pb12
_chemical_formula_sum 'Tl2 In12 Pb24'
_cell_length_a 10.575
_cell_length_b 10.575
_cell_length_c 10.575
_cell_angle_alpha 90.00
_cell_angle_beta 90.00
_cell_angle_gamma 90.00
_space_group_name_H-M_alt 'I m -3'
_space_group_IT_number 204
_space_group_name_Hall '-I 2 2 3'
loop_
_atom_site_label
_atom_site_fract_x
_atom_site_fract_y
_atom_site_fract_z
Tl1 0.000 0.000 0.000
In1 0.000 0.358 0.500
Pb1 0.000 0.188 0.260
# density = 9.49 g/cm3

=====

2.
# TlIn6Pb12 | Alexandria | PBE | relaxed
data_TlIn6Pb12
_chemical_formula_sum 'Tl3 In18 Pb36'
_cell_length_a 11.7349
_cell_length_b 11.7349
_cell_length_c 14.7652
_cell_angle_alpha 90.00
_cell_angle_beta 90.00
_cell_angle_gamma 120.00
_space_group_name_H-M_alt 'R -3'
_space_group_IT_number 148
_space_group_name_Hall '-R 3'
loop_
_atom_site_label
_atom_site_fract_x
_atom_site_fract_y
_atom_site_fract_z
Tl1 0.0000 0.0000 0.0000
In1 0.0262 0.4382 0.7018
Pb1 0.0238 0.1884 0.8142
Pb2 0.0608 0.8504 0.4116
# density = 9.56 g/cm3

=====

Order of stability, best first: 2, 1

=====

1.
# Tl3In2Pb | Alexandria | PBE | relaxed
data_Tl3In2Pb
_chemical_formula_sum 'Tl12 In8 Pb4'
_cell_length_a 7.207
_cell_length_b 9.196
_cell_length_c 11.316
_cell_angle_alpha 90.00
_cell_angle_beta 108.56
_cell_angle_gamma 90.00
_space_group_name_H-M_alt 'C 1 2/c 1'
_space_group_IT_number 15
loop_
_space_group_symop_operation_xyz
'x,y,z'
'-x,-y,-z'
'-x,y,-z+1/2'
'x,-y,z+1/2'
'x+1/2,y+1/2,z'
'-x+1/2,-y+1/2,-z'
'-x+1/2,y+1/2,-z+1/2'
'x+1/2,-y+1/2,z+1/2'
loop_
_atom_site_label
_atom_site_fract_x
_atom_site_fract_y
_atom_site_fract_z
Tl1 0.000 0.125 0.250
Tl2 0.165 0.125 0.581
In1 0.166 0.376 0.082
Pb1 0.000 0.374 0.750
# density = 9.81 g/cm3

=====

2.
# Tl3In2Pb | Alexandria | PBE | relaxed
data_Tl3In2Pb
_chemical_formula_sum 'Tl6 In4 Pb2'
_cell_length_a 8.061
_cell_length_b 3.965
_cell_length_c 11.194
_cell_angle_alpha 90.00
_cell_angle_beta 90.08
_cell_angle_gamma 90.00
_space_group_name_H-M_alt 'P 1 21/m 1'
_space_group_IT_number 11
loop_
_space_group_symop_operation_xyz
'x,y,z'
'-x,-y,-z'
'-x,y+1/2,-z'
'x,-y+1/2,z'
loop_
_atom_site_label
_atom_site_fract_x
_atom_site_fract_y
_atom_site_fract_z
Tl1 0.124 0.250 0.241
Tl2 0.145 0.250 0.925
Tl3 0.362 0.750 0.419
In1 0.107 0.250 0.585
In2 0.400 0.750 0.092
Pb1 0.364 0.750 0.734
# density = 9.75 g/cm3

=====

Order of stability, best first: 1, 2

=====

1.
# Tl7In4Pb | Alexandria | PBE | relaxed
data_Tl7In4Pb
_chemical_formula_sum 'Tl7 In4 Pb1'
_cell_length_a 5.5300
_cell_length_b 5.5300
_cell_length_c 13.4358
_cell_angle_alpha 90.00
_cell_angle_beta 90.00
_cell_angle_gamma 120.00
_space_group_name_H-M_alt 'P -3 m 1'
_space_group_IT_number 164
_space_group_name_Hall '-P 3 2"'
loop_
_atom_site_label
_atom_site_fract_x
_atom_site_fract_y
_atom_site_fract_z
Tl1 0.0000 0.0000 0.0000
Tl2 0.0000 0.0000 0.2500
Tl3 0.3333 0.6667 0.1493
Tl4 0.3333 0.6667 0.4044
In1 0.3333 0.6667 0.6598
In2 0.3333 0.6667 0.9024
Pb1 0.0000 0.0000 0.5000
# density = 9.79 g/cm3

=====

2.
# Tl7In4Pb | Alexandria | PBE | relaxed
data_Tl7In4Pb
_chemical_formula_sum 'Tl14 In8 Pb2'
_cell_length_a 13.841
_cell_length_b 6.226
_cell_length_c 9.957
_cell_angle_alpha 90.00
_cell_angle_beta 119.14
_cell_angle_gamma 90.00
_space_group_name_H-M_alt 'C 1 2/m 1'
_space_group_IT_number 12
loop_
_space_group_symop_operation_xyz
'x,y,z'
'-x,-y,-z'
'-x,y,-z'
'x,-y,z'
'x+1/2,y+1/2,z'
'-x+1/2,-y+1/2,-z'
'-x+1/2,y+1/2,-z'
'x+1/2,-y+1/2,z'
loop_
_atom_site_label
_atom_site_fract_x
_atom_site_fract_y
_atom_site_fract_z
Tl1 0.000 0.000 0.000
Tl2 0.039 0.500 0.367
Tl3 0.223 0.500 0.924
Tl4 0.245 0.000 0.705
In1 0.016 0.000 0.678
In2 0.217 0.000 0.357
Pb1 0.000 0.500 0.000
# density = 9.29 g/cm3

=====

Order of stability, best first: 1, 2